No. 1
A relaxed Li2CeSm crystal. Source: Alexandria, functional PBE.

Cell lengths 12.2438, 12.2438, 12.2438 Å; angles 15.01, 15.01, 15.01 degrees
With the nearest neighbours (Å) after each atom.
Fractional positions:
Li 0.0876 0.0876 0.0876  1 Ce 3.18, 6 Li 3.20, 3 Sm 3.41
Li 0.9124 0.9124 0.9124  1 Ce 3.18, 6 Li 3.20, 3 Sm 3.41
Ce 0.0000 0.0000 0.0000  2 Li 3.18, 6 Ce 3.20
Sm 0.5000 0.5000 0.5000  6 Sm 3.20, 6 Li 3.41

energy above the lowest structure with this stoichiometry	3.1	kJ/mol of atoms
symmetry	R-3m, No. 166
crystal system	trigonal
calculated formation energy	0.28	eV per atom



No. 2
A relaxed Pm2HoMgTe5 crystal. Source: Alexandria, functional PBE.

Cell lengths 9.7185, 9.7185, 13.5432 Å; angles 90.00, 90.00, 154.27 degrees
With the nearest neighbours (Å) after each atom.
Fractional positions:
Pm 0.1120 0.8880 0.5000  8 Te 3.23-3.45
Pm 0.1340 0.8660 0.1205  8 Te 3.22-3.45
Pm 0.8660 0.1340 0.6205  8 Te 3.22-3.45
Pm 0.8880 0.1120 0.0000  8 Te 3.23-3.45
Ho 0.2044 0.7956 0.8300  6 Te 3.03-3.11
Ho 0.7956 0.2044 0.3300  6 Te 3.03-3.11
Mg 0.4459 0.5541 0.2742  4 Te 2.67-2.94
Mg 0.5541 0.4459 0.7742  4 Te 2.67-2.94
Te 0.0500 0.9500 0.8943  2 Mg 2.71
Te 0.2824 0.7176 0.4885  2 Ho 3.06, 3 Pm 3.22-3.23
Te 0.3112 0.6888 0.1665  1 Mg 2.94, 2 Ho 3.11
Te 0.3641 0.6359 0.8169  1 Ho 3.03, 2 Pm 3.32
Te 0.4957 0.5043 0.5947  1 Mg 2.67
Te 0.5043 0.4957 0.0947  1 Mg 2.67
Te 0.6359 0.3641 0.3169  1 Ho 3.03, 2 Pm 3.32
Te 0.6888 0.3112 0.6665  1 Mg 2.94, 2 Ho 3.11
Te 0.7176 0.2824 0.9885  2 Ho 3.06, 3 Pm 3.22-3.23
Te 0.9500 0.0500 0.3943  2 Mg 2.71

formation energy (no corrections)	-11.0	eV per formula unit
symmetry	Cmc2_1, No. 36
crystal system	orthorhombic



D(E_F)? In order: 7.92; 4.56 states/eV/cell.
Total magnetization? In order: 0.7; 0.0 μB/f.u..